Here is a relaxed structure of Tl2CuIr from the Alexandria database. Energies are from PBE-GGA.

Computed properties:
Volume   19.5 Å³/atom
Distance to the lowest polymorph of the same formula   332.7 meV/atom
Total DFT energy (no corrections)   -3.754 eV/atom
D(E_F)   3.88 states/eV/f.u.

```
data_Tl2CuIr
_chemical_formula_sum 'Tl8 Cu4 Ir4'
_symmetry_space_group_name_H-M 'F -4 3 m'
_symmetry_Int_Tables_number 216
_symmetry_space_group_name_Hall 'F -4 2 3'
_cell_length_a 6.7792
_cell_length_b 6.7792
_cell_length_c 6.7792
_cell_angle_alpha 90.00
_cell_angle_beta 90.00
_cell_angle_gamma 90.00
loop_
_atom_site_label
_atom_site_fract_x
_atom_site_fract_y
_atom_site_fract_z
Tl1 0.0000 0.0000 0.0000
Tl2 0.2500 0.2500 0.2500
Cu1 0.0000 0.0000 0.5000
Ir1 0.2500 0.2500 0.7500
```